BeCd2Sb | PBE-GGA | optimized geometry

a = 5.4890 Å, b = 5.4890 Å, c = 3.2864 Å
α = 90.00°, β = 90.00°, γ = 118.77°
Sites, in units of the cell vectors:
Sb: 0.5000 0.0000 0.5000
Cd: 0.5000 0.5000 0.0000
Cd: 0.0000 0.0000 0.0000
Be: 0.0000 0.5000 0.5000

## Properties
- SG: Cmmm
- Uncorrected formation energy: 1.90 eV per formula unit
- Offset from the most stable computed form: 269 meV per atom


BeCdSb2 | PBE-GGA | optimized geometry

a = 3.3031 Å, b = 3.3031 Å, c = 8.5490 Å
α = 90.00°, β = 90.00°, γ = 90.00°
Sites, in units of the cell vectors:
Sb: 0.0000 0.0000 0.4301
Sb: 0.0000 0.0000 0.0699
Cd: 0.5000 0.5000 0.7500
Be: 0.5000 0.5000 0.2500

## Properties
- SG: P4/mmm
- Uncorrected formation energy: 1.43 eV per formula unit
- Offset from the most stable computed form: 147 meV per atom


BeCd2Sb | PBE-GGA | optimized geometry

a = 5.2986 Å, b = 5.2986 Å, c = 5.2986 Å
α = 136.00°, β = 117.64°, γ = 79.44°
Sites, in units of the cell vectors:
Cd: 0.7544 0.2544 0.5000
Cd: 0.0393 0.0393 0.0000
Be: 0.2615 0.7615 0.5000
Sb: 0.4449 0.4449 0.0000

## Properties
- SG: Imm2
- Uncorrected formation energy: 1.51 eV per formula unit
- Offset from the most stable computed form: 171 meV per atom


Be2CdSb | PBE-GGA | optimized geometry

a = 4.6282 Å, b = 4.6282 Å, c = 4.6282 Å
α = 60.00°, β = 60.00°, γ = 60.00°
Sites, in units of the cell vectors:
Be: 0.2500 0.2500 0.2500
Be: 0.7500 0.7500 0.7500
Cd: 0.0000 0.0000 0.0000
Sb: 0.5000 0.5000 0.5000

## Properties
- SG: Fm-3m
- Uncorrected formation energy: 2.83 eV per formula unit
- Offset from the most stable computed form: 399 meV per atom


BeCd2Sb | PBE-GGA | optimized geometry

a = 4.9741 Å, b = 4.9741 Å, c = 4.9741 Å
α = 60.00°, β = 60.00°, γ = 60.00°
Sites, in units of the cell vectors:
Cd: 0.2500 0.2500 0.2500
Cd: 0.0000 0.0000 0.0000
Be: 0.5000 0.5000 0.5000
Sb: 0.7500 0.7500 0.7500

## Properties
- SG: F-43m
- Uncorrected formation energy: 2.12 eV per formula unit
- Offset from the most stable computed form: 324 meV per atom


Be2CdSb | PBE-GGA | optimized geometry

a = 5.9120 Å, b = 5.9120 Å, c = 6.7699 Å
α = 64.11°, β = 64.11°, γ = 90.00°
Sites, in units of the cell vectors:
Sb: 0.7500 0.2500 0.5000
Sb: 0.0000 0.0000 0.0000
Be: 0.8750 0.9057 0.7500
Be: 0.0943 0.6250 0.2500
Be: 0.3750 0.3443 0.7500
Be: 0.6557 0.1250 0.2500
Cd: 0.5000 0.5000 0.0000
Cd: 0.2500 0.7500 0.5000

## Properties
- SG: I-42d
- Uncorrected formation energy: 2.51 eV per formula unit
- Offset from the most stable computed form: 318 meV per atom


Be2CdSb | PBE-GGA | optimized geometry

a = 3.7740 Å, b = 3.7740 Å, c = 6.1186 Å
α = 83.87°, β = 83.87°, γ = 59.96°
Sites, in units of the cell vectors:
Be: 0.7075 0.7075 0.8810
Be: 0.0404 0.0404 0.8852
Cd: 0.4005 0.4005 0.6016
Sb: 0.3516 0.3516 0.1321

## Properties
- SG: Cm
- Uncorrected formation energy: 1.23 eV per formula unit
- Offset from the most stable computed form: 0 meV per atom


Be2CdSb | PBE-GGA | optimized geometry

a = 4.8555 Å, b = 4.8555 Å, c = 4.8555 Å
α = 132.94°, β = 120.72°, γ = 78.93°
Sites, in units of the cell vectors:
Be: 0.0050 0.0050 0.0000
Be: 0.4950 0.4950 0.0000
Cd: 0.7500 0.2500 0.5000
Sb: 0.2500 0.7500 0.5000

## Properties
- SG: Immm
- Uncorrected formation energy: 2.66 eV per formula unit
- Offset from the most stable computed form: 356 meV per atom


Be2CdSb | PBE-GGA | optimized geometry

a = 3.8911 Å, b = 3.8028 Å, c = 4.9377 Å
α = 66.92°, β = 90.00°, γ = 90.00°
Sites, in units of the cell vectors:
Sb: 0.5000 0.7629 0.8462
Be: 0.0000 0.1929 0.9937
Be: 0.5000 0.0663 0.2396
Cd: 0.0000 0.4779 0.4205

## Properties
- SG: Pm
- Uncorrected formation energy: 1.47 eV per formula unit
- Offset from the most stable computed form: 60 meV per atom


BeCdSb2 | PBE-GGA | optimized geometry

a = 3.3670 Å, b = 3.3670 Å, c = 8.6045 Å
α = 90.00°, β = 90.00°, γ = 107.39°
Sites, in units of the cell vectors:
Sb: 0.0000 0.0000 0.0625
Sb: 0.0000 0.0000 0.4375
Be: 0.5000 0.5000 0.2500
Cd: 0.5000 0.5000 0.7500

## Properties
- SG: Cmmm
- Uncorrected formation energy: 1.26 eV per formula unit
- Offset from the most stable computed form: 106 meV per atom